(1)
The following is a DFT calculation (PBE) of PuPa6Ge10 after structural relaxation.

Results
**Formation energy from the elements**: -7.02 eV/f.u.
**Calculated density**: 10.37 g/cm³

Lattice parameters (Å, degrees): 8.7194 8.7194 5.7292 90.00 90.00 120.00
With the nearest neighbours (Å) after each atom.
Space group P-31m (No. 162)
One atom of each set of equivalent atoms:
Pu: 0.0000 0.0000 0.0000 x1  6 Ge 2.85
Pa: 0.0000 0.3815 0.7531 x6  9 Ge 2.94-3.08
Ge: 0.0000 0.2770 0.2650 x6  1 Pu 2.85, 5 Pa 2.94-3.07
Ge: 0.3333 0.6667 0.0000 x2  2 Ge 2.86, 6 Pa 3.07
Ge: 0.3333 0.6667 0.5000 x2  2 Ge 2.86, 6 Pa 3.08


(2)
The following is a DFT calculation (PBE) of PuPaGe2 after structural relaxation.

Results
**Formation energy from the elements**: -1.76 eV/f.u.
**Calculated density**: 11.16 g/cm³
**Excess energy over the best structure of this formula in the dataset**: 0.029 eV/atom

Lattice parameters (Å, degrees): 5.9987 5.9967 10.3853 90.00 98.95 90.00
With the nearest neighbours (Å) after each atom.
Space group P2/c (No. 13)
One atom of each set of equivalent atoms:
Pu: 0.2008 0.1719 0.1168 x4  1 Pa 2.71, 3 Ge 2.90-2.97
Pa: 0.2958 0.3234 0.8857 x4  1 Pu 2.71, 3 Ge 2.91-2.97
Ge: 0.1957 0.3358 0.6023 x4  1 Ge 2.53
Ge: 0.3095 0.1702 0.3986 x4  1 Ge 2.53


(3)
The following is a DFT calculation (PBE) of Pu2Pa3Ge3 after structural relaxation.

Results
**Formation energy from the elements**: -2.74 eV/f.u.
**Calculated density**: 13.37 g/cm³
**Excess energy over the best structure of this formula in the dataset**: 0.000 eV/atom

Lattice parameters (Å, degrees): 3.6979 5.0100 18.7617 90.00 90.00 90.00
With the nearest neighbours (Å) after each atom.
Space group Immm (No. 71)
One atom of each set of equivalent atoms:
Pu: 0.0000 0.0000 0.2327 x4  2 Pa 2.72, 2 Ge 3.05
Pa: 0.0000 0.0000 0.5000 x2  8 Ge 3.11-3.18, 4 Pa 3.45
Pa: 0.0000 0.5000 0.3739 x4  2 Pu 2.72, 2 Ge 3.00
Ge: 0.0000 0.0000 0.0000 x2  8 Pa 3.00-3.11
Ge: 0.0000 0.5000 0.1382 x4  4 Pu 3.05-3.07, 6 Pa 3.12-3.18


- Among the records above, which one has the lowest calculated density?
  PuPa6Ge10


- The highest formation energy from the elements belongs to which entry?
  PuPaGe2